# 1
A plane-wave DFT calculation with PBEsol was carried out for BeAl2Sb after structural relaxation.

Geometry as extended XYZ:
```
8
Lattice="3.826 0.000 0.000 0.000 3.826 0.000 0.000 0.000 9.514" Properties=species:S:1:pos:R:3 pbc="T T T"
Be 0.000 0.000 0.000
Be 1.913 1.913 4.757
Al 0.000 1.913 2.378
Al 0.000 1.913 7.135
Al 1.913 0.000 2.378
Al 1.913 0.000 7.135
Sb 0.000 0.000 4.757
Sb 1.913 1.913 0.000
```

## Properties
- polymorph energy (0 for the lowest one) (eV per formula unit) = 0.08
- D(E_F) (states/eV/atom) = 0.321

=====

# 2
A plane-wave DFT calculation with PBEsol was carried out for CaNi2Hg after structural relaxation.

Geometry as extended XYZ:
```
8
Lattice="3.806 0.000 0.000 0.000 3.822 0.000 0.000 0.000 9.508" Properties=species:S:1:pos:R:3 pbc="T T T"
Ca 0.000 0.000 0.000
Ca 0.000 1.911 4.754
Ni 0.000 0.000 2.666
Ni 0.000 1.911 7.420
Ni 1.903 0.000 3.919
Ni 1.903 1.911 8.673
Hg 1.903 0.000 6.675
Hg 1.903 1.911 1.921
```

## Properties
- polymorph energy (0 for the lowest one) (eV per formula unit) = 0.00
- D(E_F) (states/eV/atom) = 0.567
- DFT formation energy (eV/f.u.) = -0.2

=====

# 3
A plane-wave DFT calculation with PBEsol was carried out for ScCd2 after structural relaxation.

Geometry as extended XYZ:
```
12
Lattice="6.033 0.000 0.000 0.000 4.642 0.000 0.000 0.000 8.799" Properties=species:S:1:pos:R:3 pbc="T T T"
Sc 1.008 1.161 0.720
Sc 2.009 3.482 5.120
Sc 4.025 1.161 3.680
Sc 5.025 3.482 8.079
Cd 0.339 1.161 6.533
Cd 1.011 1.161 3.640
Cd 2.005 3.482 8.040
Cd 2.677 3.482 2.133
Cd 3.356 1.161 6.666
Cd 4.028 1.161 0.759
Cd 5.022 3.482 5.159
Cd 5.694 3.482 2.266
```

## Properties
- D(E_F) (states/eV/atom) = 0.645
- DFT formation energy (eV/f.u.) = -0.8